4
Lattice="-0.806 -2.249 -3.897 -3.576 -2.832 -0.308 -3.594 1.129 -2.590" Properties=species:S:1:pos:R:3 comment="PBE-GGA PuNpOsRh, relaxed" energy_ev_per_atom=-11.5825 m_tot_mub_per_cell=2.10 formation_enthalpy_0k_mev_per_atom=-119 pbc="T T T"
Np -5.981 -2.964 -5.096
Rh -1.994 -0.988 -1.699
Os -3.988 -1.976 -3.397
Pu 0.000 0.000 0.000